VASP calculation (PBEsol) on an optimized crystal structure of K2NaCeCl6.

Results
- M_tot (μB/cell) = 4.00
- energy relative to the elements, uncorrected (eV per atom) = -1.95
- V (Å³/atom) = 31.060

abc: 10.750 10.750 10.750
angles: 90.00 90.00 90.00
Space group Fm-3m (No. 225)
Inequivalent atoms, fractional coordinates:
K 0.250 0.250 0.250
Na 0.000 0.000 0.000
Ce 0.000 0.000 0.500
Cl 0.000 0.000 0.249